## GeAsRu3 (GGA-PBE)

Data for crystalline GeAsRu3 at its relaxed geometry.

Unit cell a=4.5297 b=4.5297 c=4.5297 alpha=90.00 beta=90.00 gamma=90.00
Sites, in units of the cell vectors:
Ge: 0.0000 0.0000 0.0000
As: 0.5000 0.5000 0.5000
Ru: 0.0000 0.5000 0.5000
Ru: 0.5000 0.0000 0.5000
Ru: 0.5000 0.5000 0.0000

- electronic total energy (eV/atom) = -6.445
- distance to the lowest polymorph of the same formula (kJ/mol of formula units) = 0
- formation enthalpy at 0 K (eV/f.u.) = 4.87

---

## GeAs2RuSe (GGA-PBE)

Data for crystalline GeAs2RuSe at its relaxed geometry.

Unit cell a=4.7720 b=4.7720 c=4.8433 alpha=90.00 beta=90.00 gamma=90.00
Sites, in units of the cell vectors:
Ge: 0.0000 0.0000 0.0000
As: 0.0000 0.5000 0.0000
As: 0.5000 0.0000 0.0000
Ru: 0.5000 0.5000 0.5000
Se: 0.0000 0.0000 0.5000

- electronic total energy (eV/atom) = -4.094
- distance to the lowest polymorph of the same formula (kJ/mol of formula units) = 363

---

## GeAs2RuSe (GGA-PBE)

Data for crystalline GeAs2RuSe at its relaxed geometry.

Unit cell a=4.6294 b=4.6294 c=5.4776 alpha=90.00 beta=90.00 gamma=90.00
Sites, in units of the cell vectors:
Ge: 0.0000 0.0000 0.0000
As: 0.0000 0.5000 0.5000
As: 0.5000 0.0000 0.5000
Ru: 0.5000 0.5000 0.5000
Se: 0.5000 0.5000 0.0000

- electronic total energy (eV/atom) = -4.847
- distance to the lowest polymorph of the same formula (kJ/mol of formula units) = 0

---

## GeAsRuSe2 (GGA-PBE)

Data for crystalline GeAsRuSe2 at its relaxed geometry.

Unit cell a=5.0515 b=5.0515 c=4.5671 alpha=90.00 beta=90.00 gamma=90.00
Sites, in units of the cell vectors:
Ge: 0.0000 0.0000 0.0000
As: 0.5000 0.5000 0.0000
Ru: 0.5000 0.5000 0.5000
Se: 0.0000 0.5000 0.5000
Se: 0.5000 0.0000 0.5000

- electronic total energy (eV/atom) = -4.598
- distance to the lowest polymorph of the same formula (kJ/mol of formula units) = 0

---

## GeAsRuSe2 (GGA-PBE)

Data for crystalline GeAsRuSe2 at its relaxed geometry.

Unit cell a=4.8557 b=4.8557 c=4.7831 alpha=90.00 beta=90.00 gamma=90.00
Sites, in units of the cell vectors:
Ge: 0.0000 0.0000 0.0000
As: 0.0000 0.0000 0.5000
Ru: 0.5000 0.5000 0.5000
Se: 0.0000 0.5000 0.0000
Se: 0.5000 0.0000 0.0000

- electronic total energy (eV/atom) = -3.949
- distance to the lowest polymorph of the same formula (kJ/mol of formula units) = 313

---

## TcGeAsRu2 (GGA-PBE)

Data for crystalline TcGeAsRu2 at its relaxed geometry.

Unit cell a=4.5200 b=4.5200 c=4.6055 alpha=90.00 beta=90.00 gamma=90.00
Sites, in units of the cell vectors:
Tc: 0.0000 0.0000 0.0000
Ge: 0.5000 0.5000 0.0000
As: 0.0000 0.0000 0.5000
Ru: 0.0000 0.5000 0.5000
Ru: 0.5000 0.0000 0.5000

- electronic total energy (eV/atom) = -6.611
- formation enthalpy at 0 K (eV/f.u.) = 5.13

---

## Ge2AsRuW (GGA-PBE)

Data for crystalline Ge2AsRuW at its relaxed geometry.

Unit cell a=4.7962 b=4.7962 c=4.7344 alpha=90.00 beta=90.00 gamma=90.00
Sites, in units of the cell vectors:
Ge: 0.0000 0.5000 0.0000
Ge: 0.5000 0.0000 0.0000
As: 0.0000 0.0000 0.5000
Ru: 0.0000 0.0000 0.0000
W: 0.5000 0.5000 0.5000

- electronic total energy (eV/atom) = -5.994
- formation enthalpy at 0 K (eV/f.u.) = 6.14

---

## ZnGeAsRu2 (GGA-PBE)

Data for crystalline ZnGeAsRu2 at its relaxed geometry.

Unit cell a=4.5846 b=4.5846 c=4.5800 alpha=90.00 beta=90.00 gamma=90.00
Sites, in units of the cell vectors:
Zn: 0.0000 0.0000 0.0000
Ge: 0.5000 0.5000 0.0000
As: 0.0000 0.0000 0.5000
Ru: 0.0000 0.5000 0.5000
Ru: 0.5000 0.0000 0.5000

- electronic total energy (eV/atom) = -4.994
- formation enthalpy at 0 K (eV/f.u.) = 4.12